1.
Material: Li3Zn4Au
Method: DFT, PBE-GGA
State: optimized geometry

a = 12.9078 Å, b = 4.4112 Å, c = 4.4050 Å
α = 90.00°, β = 109.77°, γ = 90.00°
Closest atoms and distances in Å follow each position.
Positions (direct):
Li  0.0000  0.0000  0.0000  4 Li 2.69-2.73, 4 Zn 2.69
Li  0.1299  0.0000  0.6331  5 Zn 2.63-2.95, 2 Li 2.69-2.73, 2 Au 2.71
Li  0.3701  0.5000  0.3669  5 Zn 2.63-2.95, 2 Li 2.69-2.73, 2 Au 2.71
Li  0.5000  0.5000  0.0000  4 Li 2.69-2.73, 4 Zn 2.69
Li  0.6299  0.5000  0.6331  5 Zn 2.63-2.95, 2 Li 2.69-2.73, 2 Au 2.71
Li  0.8701  0.0000  0.3669  5 Zn 2.63-2.95, 2 Li 2.69-2.73, 2 Au 2.71
Zn  0.1275  0.5000  0.1248  4 Zn 2.65-2.66, 2 Au 2.69-2.70, 3 Li 2.69-2.95
Zn  0.2495  0.5000  0.7446  4 Li 2.63-2.66, 4 Zn 2.65-2.66
Zn  0.2505  0.0000  0.2554  4 Li 2.63-2.66, 4 Zn 2.65-2.66
Zn  0.3725  0.0000  0.8752  4 Zn 2.65-2.66, 2 Au 2.69-2.70, 3 Li 2.69-2.95
Zn  0.6275  0.0000  0.1248  4 Zn 2.65-2.66, 2 Au 2.69-2.70, 3 Li 2.69-2.95
Zn  0.7495  0.0000  0.7446  4 Li 2.63-2.66, 4 Zn 2.65-2.66
Zn  0.7505  0.5000  0.2554  4 Li 2.63-2.66, 4 Zn 2.65-2.66
Zn  0.8725  0.5000  0.8752  4 Zn 2.65-2.66, 2 Au 2.69-2.70, 3 Li 2.69-2.95
Au  0.0000  0.5000  0.5000  4 Zn 2.69-2.70, 4 Li 2.71
Au  0.5000  0.0000  0.5000  4 Zn 2.69-2.70, 4 Li 2.71

Values from the calculation:
- SG: C2/m (12)
- Final energy: -2.039 eV per atom
- Formation energy: -0.2747 eV per atom

2.
Material: KSc3Sb
Method: DFT, PBE-GGA
State: optimized geometry

a = 5.5855 Å, b = 5.5855 Å, c = 5.5855 Å
α = 90.00°, β = 90.00°, γ = 90.00°
Closest atoms and distances in Å follow each position.
Positions (direct):
K  0.0000  0.0000  0.0000  12 Sc 3.95
Sc  0.0000  0.5000  0.5000  2 Sb 2.79
Sc  0.5000  0.0000  0.5000  2 Sb 2.79
Sc  0.5000  0.5000  0.0000  2 Sb 2.79
Sb  0.5000  0.5000  0.5000  6 Sc 2.79

Values from the calculation:
- SG: Pm-3m (221)
- Final energy: -4.560 eV per atom
- Formation energy from raw total energies: 27.3 kJ/mol of atoms

3.
Material: Li5AgGe
Method: DFT, PBE-GGA
State: optimized geometry

a = 4.3709 Å, b = 4.3709 Å, c = 6.5040 Å
α = 90.00°, β = 90.00°, γ = 90.00°
Closest atoms and distances in Å follow each position.
Positions (direct):
Li  0.0000  0.0000  0.0000  8 Li 2.71
Li  0.0000  0.5000  0.2465  2 Ge 2.71, 2 Li 2.71, 2 Ag 2.74
Li  0.0000  0.5000  0.7535  2 Ge 2.71, 2 Li 2.71, 2 Ag 2.74
Li  0.5000  0.0000  0.2465  2 Ge 2.71, 2 Li 2.71, 2 Ag 2.74
Li  0.5000  0.0000  0.7535  2 Ge 2.71, 2 Li 2.71, 2 Ag 2.74
Ag  0.0000  0.0000  0.5000  8 Li 2.74
Ge  0.5000  0.5000  0.0000  8 Li 2.71

Values from the calculation:
- SG: P4/mmm (123)
- Final energy: -2.613 eV per atom
- Formation energy: -0.1793 eV per atom